DFT (SCAN) results for a crystal of Sr2NiP relaxed with PBEsol.

a = 4.154 Å, b = 4.501 Å, c = 5.697 Å
α = 113.27°, β = 90.00°, γ = 90.00°
Fractional positions:
Ni: 0.375 0.587 0.173
Sr: 0.375 0.266 0.532
Sr: 0.875 0.978 0.957
P: 0.875 0.669 0.338

Calculated volume: 24.46 A^3/atom
Uncorrected energy: -73.7 eV for the cell shown
E_form: -640 meV per atom

---

DFT (SCAN) results for a crystal of SrNi2P2 relaxed with PBEsol.

a = 3.900 Å, b = 8.055 Å, c = 8.055 Å
α = 79.78°, β = 75.99°, γ = 75.99°
Fractional positions:
P: 0.665 0.676 0.995
Ni: 0.155 0.583 0.107
Sr: 0.000 0.000 0.000
P: 0.000 0.615 0.385
Ni: 0.500 0.727 0.273
Ni: 0.845 0.893 0.417
P: 0.665 0.995 0.676
Sr: 0.315 0.685 0.685
Ni: 0.500 0.273 0.727
P: 0.000 0.385 0.615
P: 0.335 0.005 0.324
Ni: 0.155 0.107 0.583
P: 0.335 0.324 0.005
Sr: 0.685 0.315 0.315
Ni: 0.845 0.417 0.893

Calculated volume: 15.75 A^3/atom
Uncorrected energy: -238.7 eV for the cell shown
E_form: -831 meV per atom

---

DFT (SCAN) results for a crystal of Sr2Ni2P relaxed with PBEsol.

a = 4.321 Å, b = 7.263 Å, c = 13.972 Å
α = 90.00°, β = 90.00°, γ = 90.00°
Fractional positions:
Sr: 0.750 0.818 0.442
Sr: 0.750 0.318 0.058
Ni: 0.250 0.961 0.304
Sr: 0.250 0.173 0.830
Ni: 0.750 0.966 0.957
P: 0.250 0.158 0.188
Ni: 0.250 0.461 0.196
Sr: 0.750 0.827 0.170
P: 0.750 0.342 0.688
Ni: 0.250 0.534 0.457
P: 0.250 0.658 0.312
Sr: 0.250 0.182 0.558
Sr: 0.250 0.682 0.942
Sr: 0.250 0.673 0.670
Ni: 0.750 0.466 0.543
Ni: 0.250 0.034 0.043
P: 0.750 0.842 0.812
Sr: 0.750 0.327 0.330
Ni: 0.750 0.039 0.696
Ni: 0.750 0.539 0.804

Calculated volume: 21.92 A^3/atom
Uncorrected energy: -358.5 eV for the cell shown
E_form: -465 meV per atom